Here is a crystal of AgSe5 relaxed with PBEsol from Alexandria via LeMat-Bulk. Energies are from meta-GGA SCAN.

Lattice parameters (Å, degrees): 5.5842 5.5842 5.5842 60.00 60.00 60.00
Positions (direct):
Se 0.6241 0.1276 0.6241
Se 0.6241 0.6241 0.6241
Se 0.1276 0.6241 0.6241
Se 0.6241 0.6241 0.1276
Se 0.2500 0.2500 0.2500
Ag 0.0000 0.0000 0.0000

Calculated values
Its crystal system is cubic. The raw total energy comes out at -127.24 eV per cell. The symmetry is No. 216. For the density of states at the Fermi level, the calculation gives 5.25 states/eV per cell.